# 1
First-principles (PBE-GGA) data for a relaxed structure of Pu2PaTi, as listed in Alexandria.

- Total magnetization: 9.9 μB/f.u.
- Symmetry: P4/mmm, No. 123
- Calculated formation energy: 0.778 eV/f.u.
- Energy above the lowest structure with this stoichiometry: 3.3 kJ/mol of atoms

```
data_Pu2PaTi
_cell_length_a 4.5453
_cell_length_b 4.5453
_cell_length_c 4.3529
_cell_angle_alpha 90.00
_cell_angle_beta 90.00
_cell_angle_gamma 90.00
_space_group_name_H-M_alt 'P 1'
_space_group_IT_number 1
loop_
_space_group_symop_operation_xyz
'x,y,z'
loop_
_atom_site_label
_atom_site_type_symbol
_atom_site_fract_x
_atom_site_fract_y
_atom_site_fract_z
Pu1 Pu 0.0000 0.5000 0.0000
Pu2 Pu 0.5000 0.0000 0.0000
Pa1 Pa 0.0000 0.0000 0.5000
Ti1 Ti 0.5000 0.5000 0.5000
```

# 2
First-principles (PBE-GGA) data for a relaxed structure of Tm2AsO5, as listed in Alexandria.

- Total magnetization: 0.0 μB/f.u.
- Symmetry: Pnma, No. 62
- Formation energy from raw total energies: -2.699 eV per atom

```
data_Tm2AsO5
_cell_length_a 8.0194
_cell_length_b 3.6224
_cell_length_c 14.9479
_cell_angle_alpha 90.00
_cell_angle_beta 90.00
_cell_angle_gamma 90.00
_space_group_name_H-M_alt 'P 1'
_space_group_IT_number 1
loop_
_space_group_symop_operation_xyz
'x,y,z'
loop_
_atom_site_label
_atom_site_type_symbol
_atom_site_fract_x
_atom_site_fract_y
_atom_site_fract_z
Tm1 Tm 0.1042 0.2500 0.2150
Tm2 Tm 0.1075 0.2500 0.6037
Tm3 Tm 0.3925 0.7500 0.1037
Tm4 Tm 0.3958 0.7500 0.7150
Tm5 Tm 0.6042 0.2500 0.2850
Tm6 Tm 0.6075 0.2500 0.8963
Tm7 Tm 0.8925 0.7500 0.3963
Tm8 Tm 0.8958 0.7500 0.7850
As1 As 0.2008 0.2500 0.9128
As2 As 0.2992 0.7500 0.4128
As3 As 0.7008 0.2500 0.5872
As4 As 0.7992 0.7500 0.0872
O1 O 0.1152 0.7500 0.6916
O2 O 0.1269 0.7500 0.9081
O3 O 0.1337 0.7500 0.1384
O4 O 0.1418 0.7500 0.4992
O5 O 0.1528 0.7500 0.3231
O6 O 0.3472 0.2500 0.8231
O7 O 0.3582 0.2500 0.9992
O8 O 0.3663 0.2500 0.6384
O9 O 0.3731 0.2500 0.4081
O10 O 0.3848 0.2500 0.1916
O11 O 0.6152 0.7500 0.8084
O12 O 0.6269 0.7500 0.5919
O13 O 0.6337 0.7500 0.3616
O14 O 0.6418 0.7500 0.0008
O15 O 0.6528 0.7500 0.1769
O16 O 0.8472 0.2500 0.6769
O17 O 0.8582 0.2500 0.5008
O18 O 0.8663 0.2500 0.8616
O19 O 0.8731 0.2500 0.0919
O20 O 0.8848 0.2500 0.3084
```

Asked for N(E_F) across the records above, the calculation gives 2.767; 0.155 states/eV/atom in order.
Asked for VASP energy across the records above, the calculation gives -11.319; -7.497 eV per atom in order.